Entry 1:
A plane-wave DFT calculation with GGA-PBE was carried out for an optimized crystal structure of Ac2HfS6.

Summary:
Total moment   0.000 μB per formula unit
Formation energy without anion corrections   -13.627 eV/f.u.

Cell: 7.6433 7.6433 4.0199 Å, 90.00 90.00 120.00°
Last column: nearest neighbours and their distance in Å.
Space group P-62m (No. 189)
Asymmetric unit:
Ac 0.3333 0.6667 0.0000 (multiplicity 2)  9 S 3.03-3.10
Hf 0.0000 0.0000 0.5000 (multiplicity 1)  6 S 2.66
S 0.0000 0.2275 0.0000 (multiplicity 3)  2 Hf 2.66
S 0.0000 0.6096 0.5000 (multiplicity 3)  1 Hf 2.98, 4 Ac 3.10, 4 S 3.28

Entry 2:
A plane-wave DFT calculation with GGA-PBE was carried out for an optimized crystal structure of Ac6HfS12.

Summary:
Total moment   1.741 μB per formula unit
Formation energy without anion corrections   -35.792 eV/f.u.

Cell: 12.6654 12.6654 12.1176 Å, 90.00 90.00 120.00°
Last column: nearest neighbours and their distance in Å.
Space group R-3 (No. 148, hexagonal axes)
Asymmetric unit:
Ac 0.0593 0.6052 0.3181 (multiplicity 18)  7 S 2.95-3.10
Hf 0.0000 0.0000 0.0000 (multiplicity 3)  6 S 2.57
S 0.0464 0.8202 0.4033 (multiplicity 18)  4 Ac 2.95-3.06
S 0.0488 0.8566 0.8888 (multiplicity 18)  1 Hf 2.57